# GGA-PBE SmYNp2P4, optimized geometry
data_SmYNp2P4
_cell_length_a 6.933
_cell_length_b 4.002
_cell_length_c 6.943
_cell_angle_alpha 90.00
_cell_angle_beta 109.45
_cell_angle_gamma 90.00
_space_group_name_H-M_alt 'P 1 2/m 1'
_space_group_IT_number 10
_space_group_name_Hall '-P 2y'
loop_
_atom_site_label
_atom_site_type_symbol
_atom_site_fract_x
_atom_site_fract_y
_atom_site_fract_z
Sm1 Sm 0.000 0.000 0.000
Y1 Y 0.500 0.500 0.000
Np1 Np 0.000 0.500 0.500
Np2 Np 0.500 0.000 0.500
P1 P 0.250 0.000 0.740
P2 P 0.257 0.500 0.262
# Fermi-level density of states: 2.19 states/eV/atom
# Uncorrected energy: -8.5673 eV/atom
# ΔH_f (0 K): -1229 meV per atom
# V: 182 Å³/cell
# Calculated density: 7.65 g cm⁻³